Record 1
Material: TbPm3Dy2Ho6
Method: DFT, PBE-GGA
State: relaxed

- ΔE_f: 17 meV/atom
- Energy: -4.6127 eV/atom

a b c (Å): 6.1710 6.1710 11.7703
angles (deg): 94.99 94.99 119.97
Atoms (fractional coordinates):
1 Tb 0.0000 0.0000 0.0000
2 Pm 0.1667 0.8333 0.5000
3 Pm 0.8333 0.1667 0.5000
4 Pm 0.5000 0.5000 0.5000
5 Dy 0.3333 0.6667 0.0000
6 Dy 0.6667 0.3333 0.0000
7 Ho 0.9172 0.5838 0.7525
8 Ho 0.7494 0.7494 0.2475
9 Ho 0.0828 0.4162 0.2475
10 Ho 0.5838 0.9172 0.7525
11 Ho 0.2506 0.2506 0.7525
12 Ho 0.4162 0.0828 0.2475



Record 2
Material: Na2B2Se5
Method: DFT, PBE-GGA
State: relaxed

- Formation energy without anion corrections: -1.3 eV per formula unit
- Energy: -3.8626 eV/atom

a b c (Å): 5.2874 5.5676 10.0926
angles (deg): 99.14 90.00 118.35
Atoms (fractional coordinates):
1 Na 0.4332 0.8665 0.7212
2 Na 0.5668 0.1335 0.2788
3 B 0.1563 0.3125 0.8756
4 B 0.8437 0.6875 0.1244
5 Se 0.3396 0.6792 0.9937
6 Se 0.6604 0.3208 0.0063
7 Se 0.1032 0.2065 0.6849
8 Se 0.8968 0.7935 0.3151
9 Se 0.0000 0.0000 0.0000